VASP calculation (PBE-GGA) on a geometry-optimized Nd6Ge3Te structure.

a b c (Å): 7.6566 9.2210 9.2210
angles (deg): 104.76 90.00 90.00
Sites, in units of the cell vectors:
Nd (0.1489, 0.7144, 0.6392)
Nd (0.6489, 0.6392, 0.7144)
Nd (0.2427, 0.4653, 0.9069)
Nd (0.7427, 0.9069, 0.4653)
Nd (0.2653, 0.0067, 0.9933)
Nd (0.6187, 0.2483, 0.7517)
Nd (0.1187, 0.7517, 0.2483)
Nd (0.7653, 0.9933, 0.0067)
Nd (0.2427, 0.0931, 0.5347)
Nd (0.7427, 0.5347, 0.0931)
Nd (0.1489, 0.3608, 0.2856)
Nd (0.6489, 0.2856, 0.3608)
Ge (0.4783, 0.9283, 0.7133)
Ge (0.9783, 0.7133, 0.9283)
Ge (0.3626, 0.4149, 0.5851)
Ge (0.8626, 0.5851, 0.4149)
Ge (0.9783, 0.0717, 0.2867)
Ge (0.4783, 0.2867, 0.0717)
Te (0.9990, 0.1729, 0.8271)
Te (0.4990, 0.8271, 0.1729)

Values from the calculation:
Formation energy without anion corrections: -0.7037 eV/atom
Calculated volume: 629.52 Å³/cell
Magnetic moment: 0.0109 μB/atom
Total DFT energy (no corrections): -5.2637 eV per atom
Space group: Cmc2_1 (36)



VASP calculation (PBE-GGA) on a geometry-optimized NdGe3Te6 structure.

a b c (Å): 4.1751 12.5044 13.5605
angles (deg): 113.58 90.00 90.00
Sites, in units of the cell vectors:
Nd (0.7500, 0.0568, 0.7161)
Nd (0.2500, 0.9432, 0.2839)
Ge (0.7500, 0.5081, 0.8510)
Ge (0.2500, 0.4919, 0.1490)
Ge (0.7500, 0.6996, 0.4007)
Ge (0.2500, 0.3004, 0.5993)
Ge (0.7500, 0.1959, 0.2060)
Ge (0.2500, 0.8041, 0.7940)
Te (0.7500, 0.4647, 0.6381)
Te (0.2500, 0.5353, 0.3619)
Te (0.7500, 0.9668, 0.1135)
Te (0.2500, 0.0332, 0.8865)
Te (0.7500, 0.3230, 0.0840)
Te (0.2500, 0.6770, 0.9160)
Te (0.7500, 0.7308, 0.2134)
Te (0.2500, 0.2692, 0.7866)
Te (0.7500, 0.0964, 0.4806)
Te (0.2500, 0.9036, 0.5194)
Te (0.7500, 0.7699, 0.6561)
Te (0.2500, 0.2301, 0.3439)

Values from the calculation:
Formation energy without anion corrections: -0.3682 eV/atom
Calculated volume: 648.84 Å³/cell
Magnetic moment: 0.0000 μB/atom
Total DFT energy (no corrections): -4.1152 eV per atom
Space group: P2_1/m (11)



VASP calculation (PBE-GGA) on a geometry-optimized Nd2GeTe structure.

a b c (Å): 4.3933 7.6419 15.1023
angles (deg): 90.00 90.00 90.00
Sites, in units of the cell vectors:
Nd (0.7500, 0.2413, 0.4927)
Nd (0.2500, 0.7587, 0.5073)
Nd (0.7500, 0.7413, 0.0073)
Nd (0.2500, 0.2587, 0.9927)
Nd (0.7500, 0.1643, 0.7555)
Nd (0.2500, 0.3357, 0.2555)
Nd (0.7500, 0.6643, 0.7445)
Nd (0.2500, 0.8357, 0.2445)
Ge (0.2500, 0.5749, 0.1042)
Ge (0.2500, 0.0749, 0.3958)
Ge (0.7500, 0.4251, 0.8958)
Ge (0.7500, 0.9251, 0.6042)
Te (0.7500, 0.0862, 0.1431)
Te (0.2500, 0.9138, 0.8569)
Te (0.7500, 0.5862, 0.3569)
Te (0.2500, 0.4138, 0.6431)

Values from the calculation:
Formation energy without anion corrections: -0.9580 eV/atom
Distance to the lowest polymorph of the same formula: 1.03 eV/f.u.
Calculated volume: 507.03 Å³/cell
Magnetic moment: 0.0000 μB/atom
Total DFT energy (no corrections): -5.2817 eV per atom
Space group: Pnma (62)



VASP calculation (PBE-GGA) on a geometry-optimized Nd8GeTe6 structure.

a b c (Å): 4.4855 11.2147 11.2147
angles (deg): 120.00 90.00 90.00
Sites, in units of the cell vectors:
Nd (0.7427, 0.9729, 0.2585)
Nd (0.7427, 0.7415, 0.7144)
Nd (0.7427, 0.2856, 0.0271)
Nd (0.2573, 0.0271, 0.7415)
Nd (0.2573, 0.2585, 0.2856)
Nd (0.2573, 0.7144, 0.9729)
Nd (0.7469, 0.3333, 0.6667)
Nd (0.2531, 0.6667, 0.3333)
Ge (0.5000, 0.0000, 0.0000)
Te (0.7504, 0.6484, 0.1231)
Te (0.7504, 0.8769, 0.5253)
Te (0.7504, 0.4747, 0.3516)
Te (0.2496, 0.3516, 0.8769)
Te (0.2496, 0.1231, 0.4747)
Te (0.2496, 0.5253, 0.6484)

Values from the calculation:
Formation energy without anion corrections: -1.0028 eV/atom
Calculated volume: 488.55 Å³/cell
Magnetic moment: 0.0000 μB/atom
Total DFT energy (no corrections): -5.1102 eV per atom
Space group: P-3 (147)



VASP calculation (PBE-GGA) on a geometry-optimized Nd4GeTe3 structure.

a b c (Å): 4.4279 7.7599 7.7599
angles (deg): 109.06 90.00 90.00
Sites, in units of the cell vectors:
Nd (0.0000, 0.2275, 0.2275)
Nd (0.5000, 0.7644, 0.2356)
Nd (0.0000, 0.7725, 0.7725)
Nd (0.5000, 0.2356, 0.7644)
Ge (0.5000, 0.0000, 0.0000)
Te (0.0000, 0.0000, 0.5000)
Te (0.5000, 0.5000, 0.5000)
Te (0.0000, 0.5000, 0.0000)

Values from the calculation:
Formation energy without anion corrections: -1.3623 eV/atom
Calculated volume: 252.01 Å³/cell
Magnetic moment: 0.0000 μB/atom
Total DFT energy (no corrections): -5.5015 eV per atom
Space group: Cmmm (65)



VASP calculation (PBE-GGA) on a geometry-optimized Nd5Ge2Te structure.

a b c (Å): 8.0852 8.0852 9.0599
angles (deg): 116.50 116.50 90.00
Sites, in units of the cell vectors:
Nd (0.5171, 0.7008, 0.7179)
Nd (0.7992, 0.9829, 0.2821)
Nd (0.0000, 0.0000, 0.0000)
Nd (0.5000, 0.5000, 0.0000)
Nd (0.2008, 0.0171, 0.7179)
Nd (0.7008, 0.2008, 0.7179)
Nd (0.0171, 0.5171, 0.7179)
Nd (0.2992, 0.7992, 0.2821)
Nd (0.9829, 0.4829, 0.2821)
Nd (0.4829, 0.2992, 0.2821)
Ge (0.1427, 0.3573, 0.0000)
Ge (0.6427, 0.1427, 0.0000)
Ge (0.3573, 0.8573, 0.0000)
Ge (0.8573, 0.6427, 0.0000)
Te (0.7500, 0.7500, 0.5000)
Te (0.2500, 0.2500, 0.5000)

Values from the calculation:
Formation energy without anion corrections: -0.8123 eV/atom
Calculated volume: 459.44 Å³/cell
Magnetic moment: 0.2426 μB/atom
Total DFT energy (no corrections): -5.3392 eV per atom
Space group: I4/mcm (140)